Computed, not measured: crystalline ErZn3Cd9 at its relaxed geometry at the PBE level of DFT.

It has space group C2/m (No. 12), with a = 5.7679 Å, b = 13.6772 Å, c = 7.3937 Å, α = 90.00°, β = 112.34° and γ = 90.00°. The distinct sites, in fractional coordinates, are Er at (0.0000, 0.0000, 0.0000), Zn at (0.0000, 0.5000, 0.5000), Zn at (0.2500, 0.2500, 0.0000), Cd at (0.0000, 0.0000, 0.5000), Cd at (0.0972, 0.3908, 0.2125) and Cd at (0.1736, 0.1748, 0.3406).

The energy of formation is -86.2 kJ/mol of formula units.